Entry 1:
Computed, not measured: a geometry-optimized PrYAg2Pb2 structure at the PBE-GGA level of DFT.

a b c (Å): 4.8645 4.8645 7.5887
angles (deg): 90.00 90.00 120.00
Last column: nearest neighbours and their distance in Å.
Space group P3m1 (No. 156)
Unique sites:
Pr 0.0000 0.0000 0.0000 (multiplicity 1)  3 Ag 3.20, 6 Pb 3.29-3.55
Y 0.0000 0.0000 0.5010 (multiplicity 1)  3 Ag 3.14, 6 Pb 3.25-3.50
Ag 0.3333 0.6667 0.2028 (multiplicity 1)  3 Pb 2.88, 3 Pr 3.20
Ag 0.6667 0.3333 0.6854 (multiplicity 1)  4 Pb 2.89-3.03, 3 Y 3.14
Pb 0.3333 0.6667 0.7753 (multiplicity 1)  3 Ag 2.89
Pb 0.6667 0.3333 0.2859 (multiplicity 1)  4 Ag 2.88-3.03

**ρ**: 9.2 g/cm³
**Magnetic moment**: 0.01 μB/f.u.
**Raw total energy**: -4.50 eV per atom

Entry 2:
Computed, not measured: a geometry-optimized AgPtPb structure at the PBE-GGA level of DFT.

a b c (Å): 6.4867 6.4867 6.4867
angles (deg): 90.00 90.00 90.00
Last column: nearest neighbours and their distance in Å.
Space group F-43m (No. 216)
Unique sites:
Ag 0.0000 0.0000 0.0000 (multiplicity 4)  4 Pt 2.81
Pt 0.2500 0.2500 0.2500 (multiplicity 4)  4 Pb 2.81, 4 Ag 2.81
Pb 0.0000 0.0000 0.5000 (multiplicity 4)  4 Pt 2.81

**ρ**: 12.4 g/cm³
**Magnetic moment**: 0.00 μB/f.u.
**Raw total energy**: -4.23 eV per atom
**Relative energy among the computed polymorphs**: 0 meV/atom

Entry 3:
Computed, not measured: a geometry-optimized AgPt2Pb structure at the PBE-GGA level of DFT.

a b c (Å): 6.6655 6.6655 6.6655
angles (deg): 90.00 90.00 90.00
Last column: nearest neighbours and their distance in Å.
Space group F-43m (No. 216)
Unique sites:
Ag 0.0000 0.0000 0.0000 (multiplicity 4)  4 Pb 2.89, 4 Pt 2.89
Pt 0.0000 0.0000 0.5000 (multiplicity 4)  4 Pb 2.89, 4 Pt 2.89
Pt 0.2500 0.2500 0.2500 (multiplicity 4)  4 Pt 2.89, 4 Ag 2.89
Pb 0.2500 0.2500 0.7500 (multiplicity 4)  4 Pt 2.89, 4 Ag 2.89

**ρ**: 15.8 g/cm³
**Magnetic moment**: 0.01 μB/f.u.
**Raw total energy**: -4.59 eV per atom

Entry 4:
Computed, not measured: a geometry-optimized Pu2AgPb structure at the PBE-GGA level of DFT.

a b c (Å): 4.5215 4.5215 4.8638
angles (deg): 90.00 90.00 90.00
Last column: nearest neighbours and their distance in Å.
Space group P4/mmm (No. 123)
Unique sites:
Pu 0.0000 0.5000 0.0000 (multiplicity 2)  4 Pu 3.20, 4 Pb 3.32, 4 Ag 3.32
Ag 0.0000 0.0000 0.5000 (multiplicity 1)  4 Pb 3.20, 8 Pu 3.32
Pb 0.5000 0.5000 0.5000 (multiplicity 1)  4 Ag 3.20, 8 Pu 3.32

**ρ**: 13.4 g/cm³
**Magnetic moment**: 11.59 μB/f.u.
**Raw total energy**: -8.88 eV per atom